# 1
DFT (PBE) results for a relaxed SrGaGeAu3 crystal.

a = 6.5580 Å, b = 6.8379 Å, c = 7.1989 Å
α = 118.35°, β = 90.00°, γ = 90.00°
Last column: nearest neighbours and their distance in Å.
Fractional positions:
Au1 0.5000 0.2908 0.0000  2 Ga 2.59, 2 Ge 2.65, 1 Au 2.86
Au2 0.0000 0.7092 0.0000  2 Ga 2.59, 2 Ge 2.65, 1 Au 2.86
Au3 0.7500 0.8165 0.6331  1 Ge 2.50, 1 Ga 2.55
Au4 0.0000 0.2908 0.0000  2 Ga 2.59, 2 Ge 2.65, 1 Au 2.86
Au5 0.2500 0.1835 0.3669  1 Ge 2.50, 1 Ga 2.55
Sr1 0.7500 0.2822 0.5643  1 Ga 3.35, 8 Au 3.45-3.51, 2 Ge 3.51
Ge1 0.7500 0.6192 0.2385  5 Au 2.50-2.65
Ga1 0.2500 0.9825 0.9650  5 Au 2.55-2.59
Ga2 0.7500 0.0175 0.0350  5 Au 2.55-2.59
Au6 0.5000 0.7092 0.0000  2 Ga 2.59, 2 Ge 2.65, 1 Au 2.86
Ge2 0.2500 0.3808 0.7615  5 Au 2.50-2.65
Sr2 0.2500 0.7178 0.4357  1 Ga 3.35, 8 Au 3.45-3.51, 2 Ge 3.51

Summary:
- Space group: Cmcm
- Electronic total energy: -3.539 eV per atom
- Formation energy from the elements: -0.346 eV per atom

***

# 2
DFT (PBE) results for a relaxed Sr3Ga2GeAu6 crystal.

a = 6.5285 Å, b = 6.5285 Å, c = 8.3160 Å
α = 90.00°, β = 90.00°, γ = 120.00°
Last column: nearest neighbours and their distance in Å.
Fractional positions:
Au1 0.6371 0.8185 0.3026  1 Ge 2.63, 1 Ga 2.66
Au2 0.8185 0.1815 0.6974  1 Ge 2.63, 1 Ga 2.66
Au3 0.1815 0.8185 0.3026  1 Ge 2.63, 1 Ga 2.66
Au4 0.8185 0.6371 0.6974  1 Ge 2.63, 1 Ga 2.66
Au5 0.3629 0.1815 0.6974  1 Ge 2.63, 1 Ga 2.66
Sr1 0.6667 0.3333 0.3431  9 Au 3.29-3.41, 1 Ga 3.34
Sr2 0.0000 0.0000 0.0000  6 Au 3.25
Au6 0.1815 0.3629 0.3026  1 Ge 2.63, 1 Ga 2.66
Ga1 0.3333 0.6667 0.0585  3 Au 2.66
Sr3 0.3333 0.6667 0.6569  9 Au 3.29-3.41, 1 Ga 3.34
Ga2 0.6667 0.3333 0.9415  3 Au 2.66
Ge1 0.0000 0.0000 0.5000  6 Au 2.63

Summary:
- Space group: P-3m1
- Electronic total energy: -3.426 eV per atom
- Formation energy from the elements: -0.477 eV per atom

***

# 3
DFT (PBE) results for a relaxed Sr2Ga3GeAu4 crystal.

a = 4.5790 Å, b = 4.5790 Å, c = 10.5857 Å
α = 90.00°, β = 90.00°, γ = 90.00°
Last column: nearest neighbours and their distance in Å.
Fractional positions:
Au1 0.0000 0.5000 0.3682  3 Ga 2.59-2.68, 2 Ge 2.68
Sr1 0.0000 0.5000 0.7490  8 Au 3.47-3.51, 2 Ge 3.49, 6 Ga 3.49-3.51
Ga1 0.0000 0.0000 0.5000  4 Au 2.68
Sr2 0.5000 0.0000 0.2510  8 Au 3.47-3.51, 6 Ga 3.49-3.51, 2 Ge 3.49
Ge1 0.5000 0.5000 0.5000  4 Au 2.68
Ga2 0.0000 0.5000 0.1235  5 Au 2.59-2.64
Au2 0.0000 0.0000 0.0000  4 Ga 2.64
Ga3 0.5000 0.0000 0.8765  5 Au 2.59-2.64
Au3 0.5000 0.5000 0.0000  4 Ga 2.64
Au4 0.5000 0.0000 0.6318  3 Ga 2.59-2.68, 2 Ge 2.68

Summary:
- Space group: P-4m2
- Electronic total energy: -3.586 eV per atom
- Formation energy from the elements: -0.569 eV per atom